Compound: NdGe4Rh5
Source: the Alexandria database
Functional: GGA-PBE
Structure: optimized geometry

As for the total moment: 0.0 μB/f.u. As for the formation energy: -0.51 eV/atom.

It has space group Pmmn (No. 59, origin choice 2), with a = 6.875 Å, b = 8.999 Å, c = 5.756 Å, α = 90.00°, β = 90.00° and γ = 90.00°. Symmetry generates all atoms from Nd at (0.250, 0.250, 0.026), Ge at (0.051, 0.250, 0.540), Ge at (0.250, 0.591, 0.007), Rh at (0.001, 0.501, 0.265) and Rh at (0.250, 0.750, 0.672).



Compound: Li3TaGa
Source: the Alexandria database
Functional: GGA-PBE
Structure: optimized geometry

As for the total moment: 0.0 μB/f.u. The energy above the most stable polymorph in this dataset is 0.000 eV per atom. As for the formation energy: 0.87 eV/atom.

It has space group Pm-3m (No. 221), with a = 4.354 Å, b = 4.354 Å, c = 4.354 Å, α = 90.00°, β = 90.00° and γ = 90.00°. Symmetry generates all atoms from Li at (0.000, 0.000, 0.500), Ta at (0.500, 0.500, 0.500) and Ga at (0.000, 0.000, 0.000).



Compound: Pr6HoEr3
Source: the Alexandria database
Functional: GGA-PBE
Structure: optimized geometry

As for the total moment: 0.0 μB/f.u. The energy above the most stable polymorph in this dataset is 0.074 eV per atom. As for the formation energy: 0.21 eV/atom.

It has space group P2_1/c (No. 14), with a = 5.529 Å, b = 10.338 Å, c = 12.552 Å, α = 90.00°, β = 100.18° and γ = 90.00°. Symmetry generates all atoms from Pr at (0.009, 0.185, 0.007), Pr at (0.099, 0.007, 0.770), Pr at (0.426, 0.172, 0.355), Ho at (0.000, 0.000, 0.500), Er at (0.427, 0.667, 0.867) and Er at (0.500, 0.000, 0.000).